# 1
## HAuS3 (PBE-GGA)

Data for a relaxed HAuS3 crystal.

CIF file:
```
data_HAuS3
_symmetry_space_group_name_H-M 'P m -3 m'
_symmetry_Int_Tables_number 221
_symmetry_space_group_name_Hall '-P 4 2 3'
_cell_length_a 4.9390
_cell_length_b 4.9390
_cell_length_c 4.9390
_cell_angle_alpha 90.00
_cell_angle_beta 90.00
_cell_angle_gamma 90.00
loop_
_atom_site_label
_atom_site_type_symbol
_atom_site_fract_x
_atom_site_fract_y
_atom_site_fract_z
_atom_site_occupancy
H1 H 0.0000 0.0000 0.0000 1
Au1 Au 0.5000 0.5000 0.5000 1
S1 S 0.0000 0.5000 0.5000 1
```



# 2
## HAuS2 (PBE-GGA)

Data for a relaxed HAuS2 crystal.

CIF file:
```
data_HAuS2
_symmetry_space_group_name_H-M 'R -3 m'
_symmetry_Int_Tables_number 166
_symmetry_space_group_name_Hall '-R 3 2"'
_cell_length_a 3.0374
_cell_length_b 3.0374
_cell_length_c 21.6583
_cell_angle_alpha 90.00
_cell_angle_beta 90.00
_cell_angle_gamma 120.00
loop_
_atom_site_label
_atom_site_type_symbol
_atom_site_fract_x
_atom_site_fract_y
_atom_site_fract_z
_atom_site_occupancy
H1 H 0.0000 0.0000 0.0000 1
Au1 Au 0.0000 0.0000 0.5000 1
S1 S 0.0000 0.0000 0.3918 1
```



Number 1: E_tot -2.481 eV per atom. Number 2: E_tot -2.984 eV per atom.